Record 1
Entry from the Alexandria database: an optimized crystal structure of SmHfZnIn (PBE).

abc: 5.0551 5.0551 5.0551
angles: 60.00 60.00 60.00
With the nearest neighbours (Å) after each atom.
Sites, in units of the cell vectors:
Zn  0.0000  0.0000  0.0000  4 Hf 3.10, 4 Sm 3.10
Hf  0.2500  0.2500  0.2500  4 In 3.10, 4 Zn 3.10
Sm  0.7500  0.7500  0.7500  4 In 3.10, 4 Zn 3.10
In  0.5000  0.5000  0.5000  4 Sm 3.10, 4 Hf 3.10

Computed properties:
**Space group**: F-43m (216)
**E_form**: -0.169 eV/atom
**VASP energy**: -4.841 eV per atom

=====

Record 2
Entry from the Alexandria database: an optimized crystal structure of Hf7In3Sn (PBE).

abc: 5.3180 7.5135 7.5135
angles: 87.01 111.29 111.29
With the nearest neighbours (Å) after each atom.
Sites, in units of the cell vectors:
Hf  0.2252  0.1952  0.1952  1 Sn 2.88, 3 In 2.94-3.13, 2 Hf 3.05
Hf  0.3219  0.0457  0.5903  4 In 2.92-3.20, 3 Hf 2.97-3.05
Hf  0.6781  0.4097  0.9543  4 In 2.92-3.20, 3 Hf 2.97-3.05
Hf  0.3219  0.5903  0.0457  4 In 2.92-3.20, 3 Hf 2.97-3.05
Hf  0.0000  0.5000  0.5000  2 Sn 2.66, 2 In 2.88
Hf  0.6781  0.9543  0.4097  4 In 2.92-3.20, 3 Hf 2.97-3.05
Hf  0.7748  0.8048  0.8048  1 Sn 2.88, 3 In 2.94-3.13, 2 Hf 3.05
In  0.0000  0.7782  0.2218  9 Hf 2.88-3.20
In  0.5000  0.0000  0.0000  6 Hf 2.92-3.13
In  0.0000  0.2218  0.7782  9 Hf 2.88-3.20
Sn  0.5000  0.5000  0.5000  4 Hf 2.66-2.88

Computed properties:
**Space group**: C2/m (12)
**E_form**: 0.185 eV/atom
**VASP energy**: -7.260 eV per atom

=====

Record 3
Entry from the Alexandria database: an optimized crystal structure of Hf7InSn2 (PBE).

abc: 4.9669 8.1205 8.1205
angles: 121.17 90.00 90.00
With the nearest neighbours (Å) after each atom.
Sites, in units of the cell vectors:
Hf  0.0000  0.7891  0.2109  2 Sn 2.79, 1 In 2.98
Hf  0.0000  0.2109  0.7891  2 Sn 2.79, 1 In 2.98
Hf  0.5000  0.0626  0.2881  2 Hf 2.80-3.04, 2 Sn 2.86-3.01
Hf  0.5000  0.9374  0.7119  2 Hf 2.80-3.04, 2 Sn 2.86-3.01
Hf  0.5000  0.2881  0.0626  2 Hf 2.80-3.04, 2 Sn 2.86-3.01
Hf  0.5000  0.7119  0.9374  2 Hf 2.80-3.04, 2 Sn 2.86-3.01
Hf  0.5000  0.5000  0.5000  2 Sn 2.82, 4 Hf 3.04
In  0.0000  0.0000  0.0000  10 Hf 2.98-3.27
Sn  0.5000  0.6992  0.3008  7 Hf 2.79-3.01
Sn  0.5000  0.3008  0.6992  7 Hf 2.79-3.01

Computed properties:
**Space group**: Cmmm (65)
**E_form**: 0.583 eV/atom
**VASP energy**: -7.458 eV per atom

=====

Record 4
Entry from the Alexandria database: an optimized crystal structure of Hf12InSn3 (PBE).

abc: 4.4290 4.4290 17.7015
angles: 90.00 90.00 90.00
With the nearest neighbours (Å) after each atom.
Sites, in units of the cell vectors:
Hf  0.5000  0.5000  0.0000  8 Hf 3.13, 4 In 3.13
Hf  0.5000  0.5000  0.2492  8 Hf 3.12-3.13, 4 Sn 3.13
Hf  0.5000  0.5000  0.5000  4 Sn 3.13, 8 Hf 3.14
Hf  0.5000  0.5000  0.7508  8 Hf 3.12-3.13, 4 Sn 3.13
Hf  0.5000  0.0000  0.1250  8 Hf 3.12-3.13, 2 In 3.13, 2 Sn 3.14
Hf  0.5000  0.0000  0.3745  4 Sn 3.12-3.14, 8 Hf 3.13-3.14
Hf  0.5000  0.0000  0.6255  4 Sn 3.12-3.14, 8 Hf 3.13-3.14
Hf  0.5000  0.0000  0.8750  8 Hf 3.12-3.13, 2 In 3.13, 2 Sn 3.14
Hf  0.0000  0.5000  0.1250  8 Hf 3.12-3.13, 2 In 3.13, 2 Sn 3.14
Hf  0.0000  0.5000  0.3745  4 Sn 3.12-3.14, 8 Hf 3.13-3.14
Hf  0.0000  0.5000  0.6255  4 Sn 3.12-3.14, 8 Hf 3.13-3.14
Hf  0.0000  0.5000  0.8750  8 Hf 3.12-3.13, 2 In 3.13, 2 Sn 3.14
In  0.0000  0.0000  0.0000  12 Hf 3.13
Sn  0.0000  0.0000  0.2506  12 Hf 3.12-3.14
Sn  0.0000  0.0000  0.5000  12 Hf 3.13-3.14
Sn  0.0000  0.0000  0.7494  12 Hf 3.12-3.14

Computed properties:
**Space group**: P4/mmm (123)
**E_form**: -0.219 eV/atom
**VASP energy**: -8.606 eV per atom

=====

Record 5
Entry from the Alexandria database: an optimized crystal structure of Hf5InSn (PBE).

abc: 7.8366 7.8366 10.0239
angles: 50.24 50.24 80.10
With the nearest neighbours (Å) after each atom.
Sites, in units of the cell vectors:
Hf  0.7343  0.7231  0.0214  3 Hf 2.95-3.01, 2 In 2.98-3.15, 2 Sn 3.08
Hf  0.5000  0.9999  0.2537  4 Hf 2.97-3.30, 2 Sn 3.01, 2 In 3.03
Hf  0.7231  0.7343  0.5214  3 Hf 2.95-3.01, 2 In 2.98-3.15, 2 Sn 3.08
Hf  0.7619  0.2381  0.2500  8 Hf 2.95-2.99
Hf  0.0001  0.5000  0.2463  4 Hf 2.97-3.30, 2 Sn 3.01, 2 In 3.03
Hf  0.9999  0.5000  0.7537  4 Hf 2.97-3.30, 2 Sn 3.01, 2 In 3.03
Hf  0.2381  0.7619  0.7500  8 Hf 2.95-2.99
Hf  0.2769  0.2657  0.4786  3 Hf 2.95-3.01, 2 In 2.98-3.15, 2 Sn 3.08
Hf  0.5000  0.0001  0.7463  4 Hf 2.97-3.30, 2 Sn 3.01, 2 In 3.03
Hf  0.2657  0.2769  0.9786  3 Hf 2.95-3.01, 2 In 2.98-3.15, 2 Sn 3.08
In  0.2512  0.7488  0.2500  8 Hf 2.98-3.15, 2 In 3.30
In  0.7488  0.2512  0.7500  8 Hf 2.98-3.15, 2 In 3.30
Sn  0.0000  0.0000  0.0000  8 Hf 3.01-3.08
Sn  0.0000  0.0000  0.5000  8 Hf 3.01-3.08

Computed properties:
**Space group**: Imma (74)
**E_form**: 0.099 eV/atom
**VASP energy**: -7.973 eV per atom

=====

Record 6
Entry from the Alexandria database: an optimized crystal structure of Hf3InSn (PBE).

abc: 6.0234 6.0234 15.8498
angles: 75.19 75.19 55.87
With the nearest neighbours (Å) after each atom.
Sites, in units of the cell vectors:
Hf  0.6136  0.9127  0.7923  3 In 3.07-3.19, 3 Sn 3.09-3.30, 5 Hf 3.12-3.17
Hf  0.0873  0.3864  0.7077  3 In 3.07-3.19, 3 Sn 3.09-3.30, 5 Hf 3.12-3.17
Hf  0.3864  0.0873  0.2077  3 In 3.07-3.19, 3 Sn 3.09-3.30, 5 Hf 3.12-3.17
Hf  0.9127  0.6136  0.2923  3 In 3.07-3.19, 3 Sn 3.09-3.30, 5 Hf 3.12-3.17
Hf  0.5730  0.9455  0.5963  2 Sn 2.91-3.18, 1 In 2.98, 6 Hf 3.12-3.20
Hf  0.0545  0.4270  0.9037  2 Sn 2.91-3.18, 1 In 2.98, 6 Hf 3.12-3.20
Hf  0.4270  0.0545  0.4037  2 Sn 2.91-3.18, 1 In 2.98, 6 Hf 3.12-3.20
Hf  0.9455  0.5730  0.0963  2 Sn 2.91-3.18, 1 In 2.98, 6 Hf 3.12-3.20
Hf  0.1883  0.8336  0.9339  5 Hf 2.86-3.14, 2 Sn 2.95-3.05, 2 In 3.02-3.17
Hf  0.1664  0.8117  0.5661  5 Hf 2.86-3.14, 2 Sn 2.95-3.05, 2 In 3.02-3.17
Hf  0.8336  0.1883  0.4339  5 Hf 2.86-3.14, 2 Sn 2.95-3.05, 2 In 3.02-3.17
Hf  0.8117  0.1664  0.0661  5 Hf 2.86-3.14, 2 Sn 2.95-3.05, 2 In 3.02-3.17
In  0.6656  0.3397  0.8552  7 Hf 2.98-3.32, 2 Sn 3.03-3.14
In  0.6603  0.3344  0.6448  7 Hf 2.98-3.32, 2 Sn 3.03-3.14
In  0.3344  0.6603  0.1448  7 Hf 2.98-3.32, 2 Sn 3.03-3.14
In  0.3397  0.6656  0.3552  7 Hf 2.98-3.32, 2 Sn 3.03-3.14
Sn  0.0000  0.5000  0.5000  4 Hf 2.91-3.05, 2 In 3.03
Sn  0.5000  0.0000  0.0000  4 Hf 2.91-3.05, 2 In 3.03
Sn  0.8084  0.1916  0.2500  8 Hf 2.95-3.19, 2 In 3.14
Sn  0.1916  0.8084  0.7500  8 Hf 2.95-3.19, 2 In 3.14

Computed properties:
**Space group**: C2/c (15)
**E_form**: -0.038 eV/atom
**VASP energy**: -7.359 eV per atom

=====

Record 7
Entry from the Alexandria database: an optimized crystal structure of Hf4In3Sn (PBE).

abc: 6.0672 6.0684 9.5249
angles: 90.00 90.00 90.00
With the nearest neighbours (Å) after each atom.
Sites, in units of the cell vectors:
Hf  0.1899  0.0003  0.0000  6 In 3.03-3.19, 2 Sn 3.03-3.04, 4 Hf 3.22
Hf  0.6890  0.4997  0.0000  2 Sn 3.03, 6 In 3.03-3.22, 4 Hf 3.19
Hf  0.9394  0.2555  0.2500  6 In 3.03-3.22, 4 Hf 3.19-3.22, 2 Sn 3.19
Hf  0.4394  0.7445  0.2500  6 In 3.03-3.22, 4 Hf 3.19-3.22, 2 Sn 3.19
Hf  0.1890  0.5003  0.5000  2 Sn 3.03, 6 In 3.03-3.22, 4 Hf 3.19
Hf  0.6899  0.9997  0.5000  6 In 3.03-3.19, 2 Sn 3.03-3.04, 4 Hf 3.22
Hf  0.4394  0.7445  0.7500  6 In 3.03-3.22, 4 Hf 3.19-3.22, 2 Sn 3.19
Hf  0.9394  0.2555  0.7500  6 In 3.03-3.22, 4 Hf 3.19-3.22, 2 Sn 3.19
In  0.6897  0.9999  0.0000  8 Hf 3.03-3.22, 4 In 3.18-3.19
In  0.9394  0.7562  0.2498  8 Hf 3.03-3.22, 2 In 3.18-3.19, 2 Sn 3.22-3.23
In  0.4394  0.2438  0.2502  8 Hf 3.03-3.22, 2 In 3.18-3.19, 2 Sn 3.22-3.23
In  0.1897  0.0001  0.5000  8 Hf 3.03-3.22, 4 In 3.18-3.19
In  0.4394  0.2438  0.7498  8 Hf 3.03-3.22, 2 In 3.18-3.19, 2 Sn 3.22-3.23
In  0.9394  0.7562  0.7502  8 Hf 3.03-3.22, 2 In 3.18-3.19, 2 Sn 3.22-3.23
Sn  0.1891  0.5002  0.0000  8 Hf 3.03-3.19, 4 In 3.22-3.23
Sn  0.6891  0.4998  0.5000  8 Hf 3.03-3.19, 4 In 3.22-3.23

Computed properties:
**Space group**: Pmn2_1 (31)
**E_form**: -0.145 eV/atom
**VASP energy**: -6.649 eV per atom

=====

Record 8
Entry from the Alexandria database: an optimized crystal structure of Hf3InSn (PBE).

abc: 5.2153 5.2153 5.2153
angles: 90.00 90.00 90.00
With the nearest neighbours (Å) after each atom.
Sites, in units of the cell vectors:
Hf  0.0000  0.5000  0.0000  2 Sn 2.61
Hf  0.0000  0.0000  0.5000  2 Sn 2.61
Hf  0.5000  0.0000  0.0000  2 Sn 2.61
Sn  0.0000  0.0000  0.0000  6 Hf 2.61
In  0.5000  0.5000  0.5000  12 Hf 3.69

Computed properties:
**Space group**: Pm-3m (221)
**E_form**: 0.898 eV/atom
**VASP energy**: -6.422 eV per atom

=====

Record 9
Entry from the Alexandria database: an optimized crystal structure of Hf7In2Sn2 (PBE).

abc: 7.1994 6.0793 6.1367
angles: 85.66 106.04 100.63
With the nearest neighbours (Å) after each atom.
Sites, in units of the cell vectors:
Hf  0.1539  0.4042  0.6639  2 Hf 2.87-2.91, 3 Sn 3.04-3.12, 3 In 3.07-3.13
Hf  0.5317  0.7553  0.0008  5 Hf 2.87-3.11, 2 Sn 3.06-3.09, 2 In 3.09-3.11
Hf  0.8461  0.5958  0.3361  2 Hf 2.87-2.91, 3 Sn 3.04-3.12, 3 In 3.07-3.13
Hf  0.4683  0.2447  0.9992  5 Hf 2.87-3.11, 2 Sn 3.06-3.09, 2 In 3.09-3.11
Hf  0.0000  0.0000  0.0000  2 Sn 3.02, 2 In 3.07, 2 Hf 3.32
Hf  0.4933  0.7465  0.4934  2 In 2.91-3.11, 2 Sn 2.94-3.01, 5 Hf 3.01-3.25
Hf  0.5067  0.2535  0.5066  2 In 2.91-3.11, 2 Sn 2.94-3.01, 5 Hf 3.01-3.25
In  0.8159  0.5243  0.8372  1 In 2.89, 8 Hf 2.91-3.13
In  0.1841  0.4757  0.1628  1 In 2.89, 8 Hf 2.91-3.13
Sn  0.8074  0.0827  0.3588  8 Hf 2.94-3.12, 1 Sn 3.13
Sn  0.1926  0.9173  0.6412  8 Hf 2.94-3.12, 1 Sn 3.13

Computed properties:
**Space group**: P-1 (2)
**E_form**: -0.011 eV/atom
**VASP energy**: -7.571 eV per atom

=====

Record 10
Entry from the Alexandria database: an optimized crystal structure of Hf3InSn2 (PBE).

abc: 7.1544 7.0508 7.0508
angles: 121.76 90.00 90.00
With the nearest neighbours (Å) after each atom.
Sites, in units of the cell vectors:
Hf  0.4696  0.1746  0.8254  4 Sn 2.91-2.92, 2 In 2.98
Hf  0.9696  0.1746  0.8254  4 Sn 2.91-2.92, 2 In 2.98
Hf  0.4696  0.5000  0.5000  4 Sn 2.92, 2 In 3.00
Hf  0.9696  0.5000  0.5000  4 Sn 2.92, 2 In 3.00
Hf  0.9696  0.8254  0.1746  4 Sn 2.91-2.92, 2 In 2.98
Hf  0.4696  0.8254  0.1746  4 Sn 2.91-2.92, 2 In 2.98
In  0.7196  0.8512  0.8512  6 Hf 2.98-3.00
In  0.2196  0.1488  0.1488  6 Hf 2.98-3.00
Sn  0.7197  0.1712  0.4961  6 Hf 2.91-2.92
Sn  0.2197  0.5039  0.8288  6 Hf 2.91-2.92
Sn  0.2197  0.8288  0.5039  6 Hf 2.91-2.92
Sn  0.7197  0.4961  0.1712  6 Hf 2.91-2.92

Computed properties:
**Space group**: Cmcm (63)
**E_form**: 0.029 eV/atom
**VASP energy**: -6.738 eV per atom

=====

Computed values of calculated density (unit: g/cm³) for the preceding records, in sequence: 9.25, 10.96, 9.49, 12.49, 11.22, 11.21, 11.15, 9.00, 11.24, 9.75.